a | VBTe2N | PBE-GGA | optimized geometry

Lattice parameters (Å, degrees): 5.5928 5.5928 2.8085 90.00 90.00 90.00
Space group P4/mmm (No. 123)
Asymmetric unit:
V1 0.0000 0.0000 0.0000 x1
B1 0.5000 0.5000 0.5000 x1
Te1 0.0000 0.5000 0.5000 x2
N1 0.5000 0.5000 0.0000 x1

Computed properties:
Spin magnetization, Bohr magnetons per cell: 0.4
N(E_F), states/eV/atom: 1.23

b | VBTe2N | PBE-GGA | optimized geometry

Lattice parameters (Å, degrees): 5.3120 5.3120 3.5943 90.00 90.00 90.00
Space group P4/mmm (No. 123)
Asymmetric unit:
V1 0.0000 0.0000 0.0000 x1
B1 0.5000 0.5000 0.5000 x1
Te1 0.0000 0.5000 0.0000 x2
N1 0.0000 0.0000 0.5000 x1

Computed properties:
Spin magnetization, Bohr magnetons per cell: 0.0
N(E_F), states/eV/atom: 0.72

Structures ranked by computed energy, the most stable listed first: a, b.

a | BTe2WN | PBE-GGA | optimized geometry

Lattice parameters (Å, degrees): 5.4010 5.4010 3.7993 90.00 90.00 90.00
Space group P4/mmm (No. 123)
Asymmetric unit:
B1 0.0000 0.0000 0.0000 x1
Te1 0.0000 0.5000 0.5000 x2
W1 0.5000 0.5000 0.5000 x1
N1 0.5000 0.5000 0.0000 x1

Computed properties:
Spin magnetization, Bohr magnetons per cell: 0.0
N(E_F), states/eV/atom: 0.52

b | BTe2WN | PBE-GGA | optimized geometry

Lattice parameters (Å, degrees): 5.6217 5.6217 2.8020 90.00 90.00 90.00
Space group P4/mmm (No. 123)
Asymmetric unit:
B1 0.0000 0.0000 0.0000 x1
Te1 0.0000 0.5000 0.0000 x2
W1 0.5000 0.5000 0.5000 x1
N1 0.0000 0.0000 0.5000 x1

Computed properties:
Spin magnetization, Bohr magnetons per cell: 1.1
N(E_F), states/eV/atom: 0.81

Structures ranked by computed energy, the most stable listed first: b, a.

a | ZrBTeN2 | PBE-GGA | optimized geometry

Lattice parameters (Å, degrees): 4.0599 4.0599 6.2139 90.00 90.00 90.00
Space group P4/mmm (No. 123)
Asymmetric unit:
Zr1 0.0000 0.0000 0.0000 x1
B1 0.5000 0.5000 0.5000 x1
Te1 0.0000 0.0000 0.5000 x1
N1 0.0000 0.5000 0.0000 x2

Computed properties:
Spin magnetization, Bohr magnetons per cell: 0.2
N(E_F), states/eV/atom: 0.78

b | ZrBTeN2 | PBE-GGA | optimized geometry

Lattice parameters (Å, degrees): 3.8733 3.8733 4.5486 90.00 90.00 90.00
Space group P4/mmm (No. 123)
Asymmetric unit:
Zr1 0.0000 0.0000 0.0000 x1
B1 0.5000 0.5000 0.5000 x1
Te1 0.5000 0.5000 0.0000 x1
N1 0.0000 0.5000 0.5000 x2

Computed properties:
Spin magnetization, Bohr magnetons per cell: 0.4
N(E_F), states/eV/atom: 0.88

Structures ranked by computed energy, the most stable listed first: a, b.

a | TlB3N | PBE-GGA | optimized geometry

Lattice parameters (Å, degrees): 4.5828 4.5828 4.5828 90.00 90.00 90.00
Space group Pm-3m (No. 221)
Asymmetric unit:
Tl1 0.0000 0.0000 0.0000 x1
B1 0.0000 0.0000 0.5000 x3
N1 0.5000 0.5000 0.5000 x1

Computed properties:
Spin magnetization, Bohr magnetons per cell: 0.8
N(E_F), states/eV/atom: 0.60

b | TlB3N | PBE-GGA | optimized geometry

Lattice parameters (Å, degrees): 3.7587 3.7587 3.7587 90.00 90.00 90.00
Space group Pm-3m (No. 221)
Asymmetric unit:
Tl1 0.0000 0.0000 0.0000 x1
B1 0.0000 0.5000 0.5000 x3
N1 0.5000 0.5000 0.5000 x1

Computed properties:
Spin magnetization, Bohr magnetons per cell: 0.0
N(E_F), states/eV/atom: 0.36

Structures ranked by computed energy, the most stable listed first: b, a.

a | TmBN2 | PBE-GGA | optimized geometry

Lattice parameters (Å, degrees): 4.9903 5.7735 3.5379 90.00 90.00 90.00
Space group Pnnm (No. 58)
Asymmetric unit:
Tm1 0.0000 0.0000 0.0000 x2
B1 0.0000 0.5000 0.0000 x2
N1 0.2228 0.3696 0.0000 x4

Computed properties:
Spin magnetization, Bohr magnetons per cell: 0.0
N(E_F), states/eV/atom: 0.00

b | TmBN2 | PBE-GGA | optimized geometry

Lattice parameters (Å, degrees): 3.5619 3.5619 14.9384 90.00 90.00 120.00
Space group R-3m (No. 166, hexagonal axes)
Asymmetric unit:
Tm1 0.0000 0.0000 0.0000 x3
B1 0.0000 0.0000 0.5000 x3
N1 0.0000 0.0000 0.4103 x6

Computed properties:
Spin magnetization, Bohr magnetons per cell: 0.0
N(E_F), states/eV/atom: 0.00

Structures ranked by computed energy, the most stable listed first: b, a.

a | V2BN | PBE-GGA | optimized geometry

Lattice parameters (Å, degrees): 5.2569 5.2569 5.2569 90.00 90.00 90.00
Space group Fm-3m (No. 225)
Asymmetric unit:
V1 0.2500 0.2500 0.2500 x8
B1 0.0000 0.0000 0.0000 x4
N1 0.0000 0.0000 0.5000 x4

Computed properties:
Spin magnetization, Bohr magnetons per cell: 0.0
N(E_F), states/eV/atom: 0.98

b | V2BN | PBE-GGA | optimized geometry

Lattice parameters (Å, degrees): 2.9572 2.9572 14.7452 90.00 90.00 120.00
Space group R-3m (No. 166, hexagonal axes)
Asymmetric unit:
V1 0.0000 0.0000 0.2448 x6
B1 0.0000 0.0000 0.0000 x3
N1 0.0000 0.0000 0.5000 x3

Computed properties:
Spin magnetization, Bohr magnetons per cell: 0.0
N(E_F), states/eV/atom: 0.69

c | V2BN | PBE-GGA | optimized geometry

Lattice parameters (Å, degrees): 4.5492 4.5492 9.1708 90.00 90.00 90.00
Space group I-42d (No. 122)
Asymmetric unit:
V1 0.2270 0.2500 0.1250 x8
B1 0.0000 0.0000 0.5000 x4
N1 0.0000 0.0000 0.0000 x4

Computed properties:
Spin magnetization, Bohr magnetons per cell: 0.0
N(E_F), states/eV/atom: 0.93

Structures ranked by computed energy, the most stable listed first: b, c, a.